# 1
LaTmCI | PBE | relaxed

Cell lengths 3.8084, 3.8084, 23.1576 Å; angles 90.00, 90.00, 120.00 degrees
Space group R3m (No. 160, hexagonal axes)
One atom of each set of equivalent atoms:
La (0.0000, 0.0000, 0.0000) x3
Tm (0.0000, 0.0000, 0.2188) x3
C (0.0000, 0.0000, 0.6008) x3
I (0.0000, 0.0000, 0.7840) x3

D(E_F)	7.44	states/eV/cell
size of the total moment	0.020	μB per atom
raw formation energy	-722	meV/atom

***

# 2
La4ZnCI2 | PBE | relaxed

Cell lengths 7.517, 4.084, 8.336 Å; angles 90.00, 106.06, 90.00 degrees
Space group P2/m (No. 10)
One atom of each set of equivalent atoms:
La (0.194, 0.000, 0.178) x2
La (0.228, 0.500, 0.806) x2
Zn (0.500, 0.000, 0.000) x1
C (0.000, 0.500, 0.000) x1
I (0.000, 0.000, 0.500) x1
I (0.500, 0.500, 0.500) x1

D(E_F)	8.16	states/eV/cell
size of the total moment	0.000	μB per atom
raw formation energy	-626	meV/atom

***

# 3
LiCI3 | PBE | relaxed

Cell lengths 5.204, 5.204, 5.204 Å; angles 90.00, 90.00, 90.00 degrees
Space group Pm-3m (No. 221)
One atom of each set of equivalent atoms:
Li (0.000, 0.000, 0.000) x1
C (0.500, 0.500, 0.500) x1
I (0.000, 0.500, 0.500) x3

D(E_F)	0.22	states/eV/cell
size of the total moment	0.000	μB per atom
raw formation energy	671	meV/atom

***

# 4
LiC2I | PBE | relaxed

Cell lengths 5.302, 5.302, 8.796 Å; angles 90.00, 90.00, 90.00 degrees
Space group I-42d (No. 122)
One atom of each set of equivalent atoms:
Li (0.000, 0.000, 0.000) x4
C (0.233, 0.250, 0.625) x8
I (0.000, 0.000, 0.500) x4

D(E_F)	0.00	states/eV/cell
size of the total moment	0.000	μB per atom
raw formation energy	2001	meV/atom

***

# 5
Li2CI | PBE | relaxed

Cell lengths 6.420, 6.420, 6.420 Å; angles 90.00, 90.00, 90.00 degrees
Space group Fm-3m (No. 225)
One atom of each set of equivalent atoms:
Li (0.250, 0.250, 0.250) x8
C (0.000, 0.000, 0.000) x4
I (0.000, 0.000, 0.500) x4

D(E_F)	10.41	states/eV/cell
size of the total moment	0.000	μB per atom
raw formation energy	847	meV/atom

***

# 6
LiCI3 | PBE | relaxed

Cell lengths 5.378, 5.378, 5.378 Å; angles 90.00, 90.00, 90.00 degrees
Space group Pm-3m (No. 221)
One atom of each set of equivalent atoms:
Li (0.000, 0.000, 0.000) x1
C (0.500, 0.500, 0.500) x1
I (0.000, 0.000, 0.500) x3

D(E_F)	8.76	states/eV/cell
size of the total moment	0.000	μB per atom
raw formation energy	1367	meV/atom

***

# 7
Li2CI | PBE | relaxed

Cell lengths 8.255, 8.255, 5.098 Å; angles 90.00, 90.00, 90.00 degrees
Space group I-42d (No. 122)
One atom of each set of equivalent atoms:
Li (0.001, 0.250, 0.125) x8
C (0.000, 0.000, 0.000) x4
I (0.000, 0.000, 0.500) x4

D(E_F)	8.87	states/eV/cell
size of the total moment	0.250	μB per atom
raw formation energy	593	meV/atom

***

# 8
Li3CI | PBE | relaxed

Cell lengths 5.069, 5.069, 5.069 Å; angles 90.00, 90.00, 90.00 degrees
Space group Pm-3m (No. 221)
One atom of each set of equivalent atoms:
Li (0.000, 0.000, 0.500) x3
C (0.500, 0.500, 0.500) x1
I (0.000, 0.000, 0.000) x1

D(E_F)	2.73	states/eV/cell
size of the total moment	0.400	μB per atom
raw formation energy	924	meV/atom

***

# 9
LiC2I | PBE | relaxed

Cell lengths 5.933, 5.933, 5.933 Å; angles 90.00, 90.00, 90.00 degrees
Space group Fm-3m (No. 225)
One atom of each set of equivalent atoms:
Li (0.000, 0.000, 0.000) x4
C (0.250, 0.250, 0.250) x8
I (0.000, 0.000, 0.500) x4

D(E_F)	9.68	states/eV/cell
size of the total moment	0.000	μB per atom
raw formation energy	2409	meV/atom

***

# 10
Li3CI | PBE | relaxed

Cell lengths 4.396, 4.396, 4.396 Å; angles 90.00, 90.00, 90.00 degrees
Space group Pm-3m (No. 221)
One atom of each set of equivalent atoms:
Li (0.000, 0.000, 0.500) x3
C (0.000, 0.000, 0.000) x1
I (0.500, 0.500, 0.500) x1

D(E_F)	2.99	states/eV/cell
size of the total moment	0.400	μB per atom
raw formation energy	168	meV/atom

***

# 11
LiCI | PBE | relaxed

Cell lengths 7.219, 9.014, 7.771 Å; angles 90.00, 90.00, 90.00 degrees
Space group Cmce (No. 64)
One atom of each set of equivalent atoms:
Li (0.250, 0.032, 0.250) x8
C (0.000, 0.046, 0.062) x8
I (0.000, 0.166, 0.533) x8

size of the total moment	0.000	μB per atom
raw formation energy	206	meV/atom

***

# 12
LiCIN2 | PBE | relaxed

Cell lengths 3.329, 3.329, 7.782 Å; angles 90.00, 90.00, 90.00 degrees
Space group P4/mmm (No. 123)
One atom of each set of equivalent atoms:
Li (0.000, 0.000, 0.000) x1
C (0.500, 0.500, 0.500) x1
I (0.500, 0.500, 0.000) x1
N (0.000, 0.500, 0.500) x2

D(E_F)	1.25	states/eV/cell
size of the total moment	0.000	μB per atom
raw formation energy	1785	meV/atom

***

# 13
LiCIN2 | PBE | relaxed

Cell lengths 3.569, 3.569, 7.470 Å; angles 90.00, 90.00, 90.00 degrees
Space group P4/mmm (No. 123)
One atom of each set of equivalent atoms:
Li (0.000, 0.000, 0.000) x1
C (0.500, 0.500, 0.500) x1
I (0.000, 0.000, 0.500) x1
N (0.000, 0.500, 0.000) x2

D(E_F)	3.39	states/eV/cell
size of the total moment	0.653	μB per atom
raw formation energy	2656	meV/atom

***

# 14
LiCI2N | PBE | relaxed

Cell lengths 5.401, 5.401, 3.891 Å; angles 90.00, 90.00, 90.00 degrees
Space group P4/mmm (No. 123)
One atom of each set of equivalent atoms:
Li (0.000, 0.000, 0.000) x1
C (0.500, 0.500, 0.500) x1
I (0.000, 0.500, 0.000) x2
N (0.000, 0.000, 0.500) x1

D(E_F)	3.89	states/eV/cell
size of the total moment	0.684	μB per atom
raw formation energy	1981	meV/atom

***

# 15
LiCI2N | PBE | relaxed

Cell lengths 6.570, 6.570, 2.721 Å; angles 90.00, 90.00, 90.00 degrees
Space group P4/mmm (No. 123)
One atom of each set of equivalent atoms:
Li (0.000, 0.000, 0.000) x1
C (0.500, 0.500, 0.500) x1
I (0.000, 0.500, 0.500) x2
N (0.500, 0.500, 0.000) x1

D(E_F)	3.67	states/eV/cell
size of the total moment	0.060	μB per atom
raw formation energy	792	meV/atom

***

# 16
LiCI2O | PBE | relaxed

Cell lengths 5.724, 5.724, 3.209 Å; angles 90.00, 90.00, 90.00 degrees
Space group P4/mmm (No. 123)
One atom of each set of equivalent atoms:
Li (0.000, 0.000, 0.000) x1
C (0.500, 0.500, 0.500) x1
I (0.000, 0.500, 0.500) x2
O (0.500, 0.500, 0.000) x1

D(E_F)	3.04	states/eV/cell
size of the total moment	0.000	μB per atom
raw formation energy	572	meV/atom

***

# 17
LiCI2O | PBE | relaxed

Cell lengths 5.242, 5.242, 3.478 Å; angles 90.00, 90.00, 90.00 degrees
Space group P4/mmm (No. 123)
One atom of each set of equivalent atoms:
Li (0.000, 0.000, 0.000) x1
C (0.500, 0.500, 0.500) x1
I (0.000, 0.500, 0.000) x2
O (0.000, 0.000, 0.500) x1

D(E_F)	6.66	states/eV/cell
size of the total moment	0.000	μB per atom
raw formation energy	1273	meV/atom

***

# 18
LiCI2O | PBE | relaxed

Cell lengths 5.210, 5.210, 3.932 Å; angles 90.00, 90.00, 90.00 degrees
Space group P4/mmm (No. 123)
One atom of each set of equivalent atoms:
Li (0.000, 0.000, 0.000) x1
C (0.000, 0.000, 0.500) x1
I (0.000, 0.500, 0.000) x2
O (0.500, 0.500, 0.500) x1

D(E_F)	4.82	states/eV/cell
size of the total moment	0.504	μB per atom
raw formation energy	1551	meV/atom

***

# 19
Rb2LiCI6 | PBE | relaxed

Cell lengths 7.956, 7.956, 11.295 Å; angles 90.00, 90.00, 90.00 degrees
Space group I4/mmm (No. 139)
One atom of each set of equivalent atoms:
Rb (0.000, 0.500, 0.250) x4
Li (0.000, 0.000, 0.000) x2
C (0.000, 0.000, 0.500) x2
I (0.000, 0.000, 0.263) x4
I (0.237, 0.237, 0.500) x8

D(E_F)	21.16	states/eV/cell
size of the total moment	0.000	μB per atom
raw formation energy	-273	meV/atom

***

# 20
LiSbCI2 | PBE | relaxed

Cell lengths 5.339, 5.339, 5.121 Å; angles 90.00, 90.00, 90.00 degrees
Space group P4/mmm (No. 123)
One atom of each set of equivalent atoms:
Li (0.000, 0.000, 0.000) x1
Sb (0.000, 0.000, 0.500) x1
C (0.500, 0.500, 0.500) x1
I (0.000, 0.500, 0.000) x2

D(E_F)	5.63	states/eV/cell
size of the total moment	0.361	μB per atom
raw formation energy	1465	meV/atom

***

# 21
LiSbCI2 | PBE | relaxed

Cell lengths 5.700, 5.700, 4.387 Å; angles 90.00, 90.00, 90.00 degrees
Space group P4/mmm (No. 123)
One atom of each set of equivalent atoms:
Li (0.000, 0.000, 0.000) x1
Sb (0.500, 0.500, 0.000) x1
C (0.500, 0.500, 0.500) x1
I (0.000, 0.500, 0.500) x2

D(E_F)	0.80	states/eV/cell
size of the total moment	0.000	μB per atom
raw formation energy	739	meV/atom

***

# 22
LiTa2CI | PBE | relaxed

Cell lengths 4.168, 4.168, 6.637 Å; angles 90.00, 90.00, 90.00 degrees
Space group P4/mmm (No. 123)
One atom of each set of equivalent atoms:
Li (0.000, 0.000, 0.000) x1
Ta (0.000, 0.500, 0.500) x2
C (0.500, 0.500, 0.500) x1
I (0.500, 0.500, 0.000) x1

D(E_F)	5.51	states/eV/cell
size of the total moment	0.211	μB per atom
raw formation energy	688	meV/atom

***

# 23
LiTe2CI | PBE | relaxed

Cell lengths 5.113, 5.113, 5.245 Å; angles 90.00, 90.00, 90.00 degrees
Space group P4/mmm (No. 123)
One atom of each set of equivalent atoms:
Li (0.000, 0.000, 0.000) x1
Te (0.000, 0.500, 0.000) x2
C (0.500, 0.500, 0.500) x1
I (0.000, 0.000, 0.500) x1

D(E_F)	6.08	states/eV/cell
size of the total moment	0.224	μB per atom
raw formation energy	1504	meV/atom

***

# 24
LiTeCI2 | PBE | relaxed

Cell lengths 5.335, 5.335, 5.246 Å; angles 90.00, 90.00, 90.00 degrees
Space group P4/mmm (No. 123)
One atom of each set of equivalent atoms:
Li (0.000, 0.000, 0.000) x1
Te (0.000, 0.000, 0.500) x1
C (0.500, 0.500, 0.500) x1
I (0.000, 0.500, 0.000) x2

D(E_F)	7.33	states/eV/cell
size of the total moment	0.166	μB per atom
raw formation energy	1415	meV/atom

***

# 25
LiTeCI2 | PBE | relaxed

Cell lengths 5.298, 5.298, 4.723 Å; angles 90.00, 90.00, 90.00 degrees
Space group P4/mmm (No. 123)
One atom of each set of equivalent atoms:
Li (0.000, 0.000, 0.000) x1
Te (0.500, 0.500, 0.000) x1
C (0.500, 0.500, 0.500) x1
I (0.000, 0.500, 0.500) x2

D(E_F)	1.82	states/eV/cell
size of the total moment	0.000	μB per atom
raw formation energy	706	meV/atom

***

# 26
LiTe2CI | PBE | relaxed

Cell lengths 4.549, 4.549, 9.109 Å; angles 90.00, 90.00, 90.00 degrees
Space group P4/mmm (No. 123)
One atom of each set of equivalent atoms:
Li (0.000, 0.000, 0.000) x1
Te (0.000, 0.500, 0.500) x2
C (0.500, 0.500, 0.500) x1
I (0.500, 0.500, 0.000) x1

D(E_F)	3.33	states/eV/cell
size of the total moment	0.136	μB per atom
raw formation energy	636	meV/atom

***

# 27
LiTl2CI | PBE | relaxed

Cell lengths 5.636, 5.636, 4.985 Å; angles 90.00, 90.00, 90.00 degrees
Space group P4/mmm (No. 123)
One atom of each set of equivalent atoms:
Li (0.000, 0.000, 0.000) x1
Tl (0.000, 0.500, 0.000) x2
C (0.500, 0.500, 0.500) x1
I (0.000, 0.000, 0.500) x1

D(E_F)	1.79	states/eV/cell
size of the total moment	0.468	μB per atom
raw formation energy	1160	meV/atom

***

# 28
Mg3CI | PBE | relaxed

Cell lengths 4.599, 4.599, 4.599 Å; angles 90.00, 90.00, 90.00 degrees
Space group Pm-3m (No. 221)
One atom of each set of equivalent atoms:
Mg (0.000, 0.000, 0.500) x3
C (0.000, 0.000, 0.000) x1
I (0.500, 0.500, 0.500) x1

D(E_F)	2.89	states/eV/cell
size of the total moment	0.000	μB per atom
raw formation energy	108	meV/atom